Entry 1:
DFT (PBEsol) results for a relaxed structure of MoOs2.

The calculation puts the formation energy at 0.15 eV per atom. The value obtained for the polymorph energy (0 for the lowest one) is 0.170 eV per atom. The total energy is -0.43797 hartree per atom.

The structure belongs to space group P6/mmm (No. 191); the cell edges are 4.3201, 4.3201 and 2.7223 Å and the angles 90.00°, 90.00° and 120.00°. Symmetry generates all atoms from Mo at (0.0000, 0.0000, 0.0000) and Os at (0.3333, 0.6667, 0.5000).

---

Entry 2:
DFT (PBEsol) results for a relaxed structure of Zr2CdAu.

The calculation puts the formation energy at -0.31 eV per atom. The total energy is -0.22536 hartree per atom.

The structure belongs to space group Pmm2 (No. 25); the cell edges are 2.9927, 4.9621 and 5.2608 Å and the angles 90.00°, 90.00° and 90.00°. Symmetry generates all atoms from Zr at (0.0000, 0.0000, 0.0000), Zr at (0.0000, 0.5000, 0.3683), Cd at (0.5000, 0.0000, 0.5076) and Au at (0.5000, 0.5000, 0.8500).

---

Entry 3:
DFT (PBEsol) results for a relaxed structure of AgSb2.

The total energy is -0.14557 hartree per atom.

The structure belongs to space group P-3m1 (No. 164); the cell edges are 3.2237, 3.2237 and 7.8782 Å and the angles 90.00°, 90.00° and 120.00°. Symmetry generates all atoms from Ag at (0.0000, 0.0000, 0.0000) and Sb at (0.3333, 0.6667, 0.2954).

---

Question: Among the records above, which one has the highest total energy?
Answer: AgSb2